The following is a PBE calculation of an optimized crystal structure of MnCr3Si, from Alexandria via LeMat-Bulk.

Unit cell a=4.1928 b=4.1928 c=4.1928 alpha=90.00 beta=90.00 gamma=90.00
Last column: nearest neighbours and their distance in Å.
Atoms (fractional coordinates):
Cr 0.0000 0.5000 0.0000  2 Si 2.10
Cr 0.0000 0.0000 0.5000  2 Si 2.10
Cr 0.5000 0.0000 0.0000  2 Si 2.10
Si 0.0000 0.0000 0.0000  6 Cr 2.10
Mn 0.5000 0.5000 0.5000  12 Cr 2.96

Spin magnetization = 3.00 Bohr magnetons per cell
Final energy = -0.54211 Ry per atom
Formation energy from raw total energies = 1317 meV per atom
Volume = 74 Å³/cell
Energy above the most stable polymorph in this dataset = 0.2615 eV/atom